A plane-wave DFT calculation with meta-GGA SCAN was carried out for a crystal of Y3Mo relaxed with PBEsol.

Results
* crystal system: hexagonal
* uncorrected energy: -29.158 eV per atom
* formation energy: 42.9 kJ/mol of atoms

Lattice parameters (Å, degrees): 3.4956 3.4956 9.8903 90.00 90.00 120.00
Space group P-6m2 (No. 187)
Unique sites:
1 Y 0.0000 0.0000 0.0000 x1
2 Y 0.6667 0.3333 0.2946 x2
3 Mo 0.0000 0.0000 0.5000 x1